# 1
Below is a relaxed Li6GaAg5 crystal, with properties calculated at the PBE level.

## Properties
DFT formation energy = -223 meV per atom

Structure (CIF):
```
data_Li6GaAg5
_chemical_formula_sum 'Li6 Ga1 Ag5'
_symmetry_space_group_name_H-M 'P 1'
_symmetry_Int_Tables_number 1
_cell_length_a 4.400
_cell_length_b 6.545
_cell_length_c 7.593
_cell_angle_alpha 115.24
_cell_angle_beta 104.71
_cell_angle_gamma 90.09
loop_
_symmetry_equiv_pos_as_xyz
'x,y,z'
loop_
_atom_site_label
_atom_site_type_symbol
_atom_site_fract_x
_atom_site_fract_y
_atom_site_fract_z
Li1 Li 0.000 0.249 0.001
Li2 Li 0.000 0.751 0.999
Li3 Li 0.334 0.584 0.667
Li4 Li 0.335 0.084 0.668
Li5 Li 0.665 0.916 0.332
Li6 Li 0.666 0.416 0.333
Ga1 Ga 0.500 0.500 0.000
Ag1 Ag 0.163 0.663 0.325
Ag2 Ag 0.167 0.167 0.336
Ag3 Ag 0.500 0.000 0.000
Ag4 Ag 0.833 0.833 0.664
Ag5 Ag 0.837 0.337 0.675
```

=====

# 2
Below is a relaxed Na2Ga3Ag5 crystal, with properties calculated at the PBE level.

## Properties
DFT formation energy = -44 meV per atom

Structure (CIF):
```
data_Na2Ga3Ag5
_chemical_formula_sum 'Na4 Ga6 Ag10'
_symmetry_space_group_name_H-M 'P 1'
_symmetry_Int_Tables_number 1
_cell_length_a 12.791
_cell_length_b 12.791
_cell_length_c 6.938
_cell_angle_alpha 90.00
_cell_angle_beta 90.00
_cell_angle_gamma 159.89
loop_
_symmetry_equiv_pos_as_xyz
'x,y,z'
loop_
_atom_site_label
_atom_site_type_symbol
_atom_site_fract_x
_atom_site_fract_y
_atom_site_fract_z
Na1 Na 0.023 0.977 0.500
Na2 Na 0.324 0.676 0.431
Na3 Na 0.676 0.324 0.931
Na4 Na 0.977 0.023 0.000
Ga1 Ga 0.125 0.875 0.262
Ga2 Ga 0.287 0.713 0.860
Ga3 Ga 0.461 0.539 0.297
Ga4 Ga 0.539 0.461 0.797
Ga5 Ga 0.713 0.287 0.360
Ga6 Ga 0.875 0.125 0.762
Ag1 Ag 0.097 0.903 0.862
Ag2 Ag 0.196 0.804 0.606
Ag3 Ag 0.227 0.773 0.165
Ag4 Ag 0.382 0.618 0.038
Ag5 Ag 0.438 0.562 0.675
Ag6 Ag 0.562 0.438 0.175
Ag7 Ag 0.618 0.382 0.538
Ag8 Ag 0.773 0.227 0.665
Ag9 Ag 0.804 0.196 0.106
Ag10 Ag 0.903 0.097 0.362
```

=====

# 3
Below is a relaxed SrCaTl2I6 crystal, with properties calculated at the PBE level.

## Properties
E_tot = -3.01 eV/atom

Structure (CIF):
```
data_SrCaTl2I6
_chemical_formula_sum 'Sr1 Ca1 Tl2 I6'
_symmetry_space_group_name_H-M 'P 1'
_symmetry_Int_Tables_number 1
_cell_length_a 8.883
_cell_length_b 8.883
_cell_length_c 8.883
_cell_angle_alpha 57.66
_cell_angle_beta 57.66
_cell_angle_gamma 57.66
loop_
_symmetry_equiv_pos_as_xyz
'x,y,z'
loop_
_atom_site_label
_atom_site_type_symbol
_atom_site_fract_x
_atom_site_fract_y
_atom_site_fract_z
Sr1 Sr 0.000 0.000 0.000
Ca1 Ca 0.501 0.501 0.501
Tl1 Tl 0.201 0.201 0.201
Tl2 Tl 0.703 0.703 0.703
I1 I 0.148 0.366 0.762
I2 I 0.277 0.857 0.634
I3 I 0.366 0.762 0.148
I4 I 0.634 0.277 0.857
I5 I 0.762 0.148 0.366
I6 I 0.857 0.634 0.277
```

=====

# 4
Below is a relaxed MoIrSe4 crystal, with properties calculated at the PBE level.

## Properties
E_tot = -4.21 eV/atom

Structure (CIF):
```
data_MoIrSe4
_chemical_formula_sum 'Mo1 Ir1 Se4'
_symmetry_space_group_name_H-M 'P 1'
_symmetry_Int_Tables_number 1
_cell_length_a 5.452
_cell_length_b 5.452
_cell_length_c 5.452
_cell_angle_alpha 60.00
_cell_angle_beta 60.00
_cell_angle_gamma 60.00
loop_
_symmetry_equiv_pos_as_xyz
'x,y,z'
loop_
_atom_site_label
_atom_site_type_symbol
_atom_site_fract_x
_atom_site_fract_y
_atom_site_fract_z
Mo1 Mo 0.000 0.000 0.000
Ir1 Ir 0.250 0.250 0.250
Se1 Se 0.127 0.624 0.624
Se2 Se 0.624 0.127 0.624
Se3 Se 0.624 0.624 0.127
Se4 Se 0.624 0.624 0.624
```

=====

# 5
Below is a relaxed KSr2Hg2Bi2 crystal, with properties calculated at the PBE level.

## Properties
DFT formation energy = -470 meV per atom

Structure (CIF):
```
data_KSr2Hg2Bi2
_chemical_formula_sum 'K1 Sr2 Hg2 Bi2'
_symmetry_space_group_name_H-M 'P 1'
_symmetry_Int_Tables_number 1
_cell_length_a 10.650
_cell_length_b 10.650
_cell_length_c 10.650
_cell_angle_alpha 30.42
_cell_angle_beta 30.42
_cell_angle_gamma 30.42
loop_
_symmetry_equiv_pos_as_xyz
'x,y,z'
loop_
_atom_site_label
_atom_site_type_symbol
_atom_site_fract_x
_atom_site_fract_y
_atom_site_fract_z
K1 K 0.000 0.000 0.000
Sr1 Sr 0.131 0.131 0.131
Sr2 Sr 0.869 0.869 0.869
Hg1 Hg 0.447 0.447 0.447
Hg2 Hg 0.553 0.553 0.553
Bi1 Bi 0.249 0.249 0.249
Bi2 Bi 0.751 0.751 0.751
```